Here is a geometry-optimized Li4V2P3O12 structure from the Alexandria database. Energies are from PBE with a Hubbard U.

a = 8.7840 Å, b = 8.7840 Å, c = 8.6078 Å
α = 62.00°, β = 62.00°, γ = 62.43°
Each line ends with the local moment (μB).
Fractional positions:
O (0.9468, 0.2226, 0.0928)  -0.01
O (0.3880, 0.7007, 0.9926)  0.00
O (0.4284, 0.2694, 0.5304)  -0.01
O (0.5316, 0.8139, 0.1061)  0.00
O (0.8762, 0.9931, 0.6998)  -0.01
O (0.0069, 0.1238, 0.8002)  -0.01
O (0.6120, 0.2993, 0.0074)  0.00
O (0.4684, 0.1861, 0.8939)  0.00
O (0.7774, 0.0532, 0.4072)  -0.01
O (0.2993, 0.6120, 0.5074)  0.00
O (0.4087, 0.1214, 0.2405)  -0.01
O (0.2694, 0.4284, 0.0304)  -0.01
O (0.5716, 0.7306, 0.4696)  -0.01
O (0.0532, 0.7774, 0.9072)  -0.01
O (0.8786, 0.5913, 0.2595)  -0.01
O (0.9931, 0.8762, 0.1998)  -0.01
O (0.7306, 0.5716, 0.9696)  -0.01
O (0.8139, 0.5316, 0.6061)  0.00
O (0.1214, 0.4087, 0.7405)  -0.01
O (0.1861, 0.4684, 0.3939)  0.00
O (0.7007, 0.3880, 0.4926)  0.00
O (0.2226, 0.9468, 0.5928)  -0.01
O (0.1238, 0.0069, 0.3002)  -0.01
O (0.5913, 0.8786, 0.7595)  -0.01
P (0.4447, 0.2607, 0.0373)  0.01
P (0.7393, 0.5553, 0.4627)  0.01
P (0.0341, 0.9659, 0.7500)  0.01
P (0.5553, 0.7393, 0.9627)  0.01
P (0.2607, 0.4447, 0.5373)  0.01
P (0.9659, 0.0341, 0.2500)  0.01
Li (0.7866, 0.7977, 0.0607)  0.00
Li (0.2134, 0.2023, 0.9393)  0.00
Li (0.2023, 0.2134, 0.4393)  0.00
Li (0.4280, 0.8153, 0.7001)  0.00
Li (0.1847, 0.5720, 0.7999)  0.00
Li (0.5720, 0.1847, 0.2999)  0.00
Li (0.8153, 0.4280, 0.2001)  0.00
Li (0.7977, 0.7866, 0.5607)  0.00
V (0.1400, 0.6401, 0.1422)  2.34
V (0.8600, 0.3599, 0.8578)  2.34
V (0.6401, 0.1400, 0.6422)  2.34
V (0.3599, 0.8600, 0.3578)  2.34

* SG: C2/c
* energy above the most stable polymorph in this dataset: 0.039 eV/atom
* spin magnetization: 0.24 μB/atom
* uncorrected energy: -6.914 eV/atom